Record 1
P2Pt, relaxed, DFT PBE-GGA; energy of formation from the pure elements = 214 meV per atom
1.0
-1.5622 1.5622 9.4387
1.5622 -1.5622 9.4387
1.5622 1.5622 -9.4387
P Pt
4 2
Cartesian
0.0000 0.0000 10.9192 P
1.5622 0.0000 3.2389 P
0.0000 0.0000 7.9583 P
1.5622 0.0000 6.1998 P
0.0000 0.0000 0.0000 Pt
0.0000 1.5622 4.7194 Pt



Record 2
Rb3CuS2, relaxed, DFT PBE-GGA; raw formation energy = -0.81 eV/atom; polymorph energy (0 for the lowest one) = 0.0 kJ/mol of formula units
1.0
-4.4830 3.6797 -4.5653
-6.2599 -6.2939 1.0742
2.8782 4.6670 6.9020
Rb Cu S
6 2 4
Cartesian
-3.8065 0.2664 -2.0141 Rb
-6.9364 -2.8806 -1.4770 Rb
-2.0861 5.3128 0.3640 Rb
-2.6487 -0.1131 2.5099 Rb
-5.7787 -3.2600 3.0470 Rb
-5.2160 2.1658 0.9010 Rb
-3.1300 -3.1469 0.5371 Cu
0.0000 0.0000 0.0000 Cu
-3.1885 3.6555 2.8372 S
-3.9808 3.5425 -2.4425 S
-3.8839 -1.4897 5.8535 S
-4.6763 -1.6027 0.5737 S



Record 3
AcPuMnGe2, relaxed, DFT PBE-GGA; energy of formation from the pure elements = -235 meV per atom
1.0
4.5490 0.0000 0.0000
0.0000 4.5490 0.0000
-2.2745 -2.2745 6.0047
Ac Pu Mn Ge
1 1 1 2
Cartesian
0.0000 0.0000 0.0000 Ac
2.2745 0.0000 3.0024 Pu
0.0000 2.2745 3.0024 Mn
2.2745 2.2745 1.3022 Ge
0.0000 0.0000 4.7025 Ge



Record 4
Y3Ga9Rh2, relaxed, DFT PBE-GGA; energy of formation from the pure elements = -684 meV per atom
1.0
4.2597 0.0000 0.0000
2.1299 7.8400 0.1528
2.1299 1.9259 7.6013
Y Ga Rh
3 9 2
Cartesian
0.0000 0.0000 0.0000 Y
4.2597 2.9216 2.3197 Y
4.2597 6.8443 5.4343 Y
2.1299 4.8829 3.8770 Ga
6.3896 9.0622 5.5444 Ga
2.1299 0.7036 2.2097 Ga
6.3896 7.4542 7.5696 Ga
2.1299 2.3117 0.1844 Ga
6.3896 7.4816 3.2937 Ga
2.1298 2.2842 4.4604 Ga
6.3896 4.9038 6.5403 Ga
2.1298 4.8621 1.2137 Ga
4.2597 3.8288 5.2047 Rh
4.2597 5.9371 2.5494 Rh



Record 5
Dy5Mg4Ag, relaxed, DFT PBE-GGA; energy of formation from the pure elements = -123 meV per atom
1.0
-3.4132 0.7738 -1.3578
-1.3725 0.0758 3.4933
3.7318 18.3351 1.0684
Dy Mg Ag
5 4 1
Cartesian
-2.0429 2.1442 1.1679 Dy
-1.2896 5.8453 1.3836 Dy
-0.5270 9.5923 1.6019 Dy
0.2357 13.3394 1.8203 Dy
0.9890 17.0405 2.0360 Dy
0.7339 3.6060 0.2101 Mg
1.4842 7.2921 0.4249 Mg
2.2476 11.0429 0.6435 Mg
2.9978 14.7291 0.8583 Mg
0.0000 0.0000 0.0000 Ag



Record 6
Pm4Cd3Hg, relaxed, DFT PBE-GGA; energy of formation from the pure elements = -357 meV per atom; polymorph energy (0 for the lowest one) = 0.0 kJ/mol of formula units
1.0
3.8292 0.0000 0.0000
0.0000 3.8292 0.0000
0.0000 0.0000 15.2892
Cd Hg Pm
3 1 4
Cartesian
1.9146 1.9146 3.8280 Cd
1.9146 1.9146 7.6446 Cd
1.9146 1.9146 11.4612 Cd
1.9146 1.9146 0.0000 Hg
0.0000 0.0000 13.4047 Pm
0.0000 0.0000 1.8845 Pm
0.0000 0.0000 5.7219 Pm
0.0000 0.0000 9.5673 Pm